Version 1
Compound: CrAgI2O
Source: the Alexandria database
Functional: PBE+U
Structure: optimized geometry

Cell: 5.7774 5.7774 4.0471 Å, 90.00 90.00 90.00°
With the nearest neighbours (Å) after each atom.
Sites, in units of the cell vectors:
O1 0.0000 0.0000 0.5000  2 Ag 2.02
Ag1 0.0000 0.0000 0.0000  2 O 2.02
I1 0.5000 0.0000 0.0000  2 Ag 2.89
Cr1 0.5000 0.5000 0.5000  8 I 3.53
I2 0.0000 0.5000 0.0000  2 Ag 2.89

Symmetry: P4/mmm (123)

=====

Version 2
Compound: CrAgI2O
Source: the Alexandria database
Functional: PBE+U
Structure: optimized geometry

Cell: 5.7791 5.7791 3.7075 Å, 90.00 90.00 90.00°
With the nearest neighbours (Å) after each atom.
Sites, in units of the cell vectors:
Ag1 0.5000 0.5000 0.5000  8 I 3.43, 2 Ag 3.71
Cr1 0.0000 0.0000 0.0000  2 O 1.85
I1 0.5000 0.0000 0.0000  2 Cr 2.89
O1 0.0000 0.0000 0.5000  2 Cr 1.85
I2 0.0000 0.5000 0.0000  2 Cr 2.89

Symmetry: P4/mmm (123)

=====

How do the energies compare? Relative to the most stable structure, in eV/atom: version 1 0.651; version 2 0.000.